[1]
{
  "formula": "SbPtW3",
  "functional": "PBE",
  "state": "relaxed",
  "lattice_angstrom": [[4.8311, 0.0000, 0.0000], [0.0000, 4.8311, 0.0000], [0.0000, 0.0000, 4.8311]],
  "species": ["Sb", "Pt", "W", "W", "W"],
  "fractional_positions": [[0.0000, 0.0000, 0.0000], [0.5000, 0.5000, 0.5000], [0.0000, 0.5000, 0.5000], [0.5000, 0.0000, 0.5000], [0.5000, 0.5000, 0.0000]],
  "e_form_raw_ev_per_atom": 1.979,
  "n_ef_per_ev_cell": 5.71,
  "sg": "Pm-3m, No. 221",
  "total_energy_ev_per_atom": -7.83,
  "relative_energy_ev_per_fu": 0.000
}

[2]
{
  "formula": "PmAgBr5",
  "functional": "PBE",
  "state": "relaxed",
  "lattice_angstrom": [[3.9351, -7.2223, 0.0000], [3.9351, 7.2223, 0.0000], [-1.9617, 0.0000, 8.7806]],
  "species": ["Pm", "Pm", "Ag", "Ag", "Br", "Br", "Br", "Br", "Br", "Br", "Br", "Br", "Br", "Br"],
  "fractional_positions": [[0.0395, 0.9605, 0.7500], [0.9605, 0.0395, 0.2500], [0.5000, 0.5000, 0.0000], [0.5000, 0.5000, 0.5000], [0.0065, 0.7887, 0.0323], [0.1760, 0.4561, 0.3679], [0.2113, 0.9935, 0.4677], [0.4107, 0.5893, 0.7500], [0.4561, 0.1760, 0.8679], [0.5439, 0.8240, 0.1321], [0.5893, 0.4107, 0.2500], [0.7887, 0.0065, 0.5323], [0.8240, 0.5439, 0.6321], [0.9935, 0.2113, 0.9677]],
  "e_form_raw_ev_per_atom": -1.116,
  "n_ef_per_ev_cell": 5.52,
  "sg": "C2/c, No. 15",
  "total_energy_ev_per_atom": -3.40
}

[3]
{
  "formula": "Nd3DyMg3",
  "functional": "PBE",
  "state": "relaxed",
  "lattice_angstrom": [[5.4102, -5.6902, 0.0000], [5.4102, 5.6902, 0.0000], [0.0000, 0.0000, 7.1075]],
  "species": ["Nd", "Nd", "Nd", "Nd", "Nd", "Nd", "Dy", "Dy", "Mg", "Mg", "Mg", "Mg", "Mg", "Mg"],
  "fractional_positions": [[0.0000, 0.0000, 0.2465], [0.0000, 0.0000, 0.7535], [0.0000, 0.5000, 0.2541], [0.0000, 0.5000, 0.7459], [0.5000, 0.0000, 0.2541], [0.5000, 0.0000, 0.7459], [0.3133, 0.3133, 0.0000], [0.6867, 0.6867, 0.0000], [0.2568, 0.7432, 0.0000], [0.2796, 0.2796, 0.5000], [0.3218, 0.6782, 0.5000], [0.6782, 0.3218, 0.5000], [0.7204, 0.7204, 0.5000], [0.7432, 0.2568, 0.0000]],
  "n_ef_per_ev_cell": 11.81,
  "sg": "Cmmm, No. 65",
  "total_energy_ev_per_atom": -3.32,
  "relative_energy_ev_per_fu": 0.000,
  "ef_ev_per_atom": 0.0664
}

What is the formula in the second record?
PmAgBr5